1.
Density functional theory data (PBE-GGA) for an optimized crystal structure of Rb2CoPtBr6.

The calculation puts the total magnetization at 1.54 μB per formula unit. The density of states at the Fermi level is 1.60 states/eV per atom. The volume is 574.2 Å³ per cell. Its uncorrected energy is -65.241 eV for the cell shown.

Cell: 7.403 7.403 10.477 Å, 90.00 90.00 90.00°
Space group I4/mmm (No. 139)
Inequivalent atoms, fractional coordinates:
Rb 0.000 0.500 0.250
Co 0.000 0.000 0.000
Pt 0.000 0.000 0.500
Br 0.000 0.000 0.245
Br 0.248 0.248 0.000

2.
Density functional theory data (PBE-GGA) for an optimized crystal structure of CoPtSe2Br.

The calculation puts the total magnetization at 0.41 μB per formula unit. The density of states at the Fermi level is 1.74 states/eV per atom. The volume is 101.7 Å³ per cell. Its uncorrected energy is -18.164 eV for the cell shown.

Cell: 4.596 4.596 4.815 Å, 90.00 90.00 90.00°
Space group P4/mmm (No. 123)
Inequivalent atoms, fractional coordinates:
Co 0.000 0.000 0.000
Pt 0.500 0.500 0.500
Se 0.000 0.500 0.000
Br 0.000 0.000 0.500

3.
Density functional theory data (PBE-GGA) for an optimized crystal structure of Sm8Co3PtBr4.

The calculation puts the total magnetization at 0.00 μB per formula unit. The density of states at the Fermi level is 0.43 states/eV per atom. The volume is 859.9 Å³ per cell. Its uncorrected energy is -171.430 eV for the cell shown.

Cell: 13.917 8.034 8.982 Å, 90.00 121.10 90.00°
Space group C2/m (No. 12)
Inequivalent atoms, fractional coordinates:
Sm 0.022 0.239 0.307
Sm 0.231 0.000 0.692
Sm 0.238 0.500 0.692
Co 0.000 0.000 0.500
Co 0.250 0.250 0.500
Pt 0.000 0.500 0.500
Br 0.000 0.000 0.000
Br 0.000 0.500 0.000
Br 0.250 0.250 0.000

4.
Density functional theory data (PBE-GGA) for an optimized crystal structure of Sm8CoPt3Br4.

The calculation puts the total magnetization at 0.00 μB per formula unit. The density of states at the Fermi level is 0.62 states/eV per atom. The volume is 907.0 Å³ per cell. Its uncorrected energy is -175.385 eV for the cell shown.

Cell: 14.309 8.263 9.035 Å, 90.00 121.90 90.00°
Space group C2/m (No. 12)
Inequivalent atoms, fractional coordinates:
Sm 0.015 0.239 0.306
Sm 0.224 0.000 0.694
Sm 0.233 0.500 0.698
Co 0.000 0.000 0.500
Pt 0.000 0.500 0.500
Pt 0.250 0.250 0.500
Br 0.000 0.000 0.000
Br 0.000 0.500 0.000
Br 0.250 0.250 0.000

5.
Density functional theory data (PBE-GGA) for an optimized crystal structure of Sm6CoPt2Br3.

The calculation puts the total magnetization at 0.00 μB per formula unit. The density of states at the Fermi level is 0.62 states/eV per atom. The volume is 676.2 Å³ per cell. Its uncorrected energy is -131.191 eV for the cell shown.

Cell: 7.134 12.375 8.018 Å, 90.00 107.20 90.00°
Space group C2/m (No. 12)
Inequivalent atoms, fractional coordinates:
Sm 0.222 0.158 0.193
Sm 0.249 0.500 0.194
Co 0.000 0.000 0.000
Pt 0.000 0.333 0.000
Br 0.000 0.163 0.500
Br 0.000 0.500 0.500

6.
Density functional theory data (PBE-GGA) for an optimized crystal structure of Tb6Co2PtBr3.

The calculation puts the total magnetization at 0.00 μB per formula unit. The density of states at the Fermi level is 0.43 states/eV per atom. The volume is 620.9 Å³ per cell. Its uncorrected energy is -128.319 eV for the cell shown.

Cell: 6.873 11.909 7.921 Å, 90.00 106.73 90.00°
Space group C2/m (No. 12)
Inequivalent atoms, fractional coordinates:
Tb 0.212 0.000 0.190
Tb 0.239 0.324 0.191
Co 0.000 0.167 0.000
Pt 0.000 0.500 0.000
Br 0.000 0.000 0.500
Br 0.000 0.332 0.500

7.
Density functional theory data (PBE-GGA) for an optimized crystal structure of CoTcPt2Br.

The calculation puts the total magnetization at 2.33 μB per formula unit. The density of states at the Fermi level is 0.99 states/eV per atom. The volume is 113.8 Å³ per cell. Its uncorrected energy is -24.273 eV for the cell shown.

Cell: 4.833 4.833 4.872 Å, 90.00 90.00 90.00°
Space group P4/mmm (No. 123)
Inequivalent atoms, fractional coordinates:
Co 0.000 0.000 0.000
Tc 0.500 0.500 0.500
Pt 0.000 0.500 0.500
Br 0.500 0.500 0.000

8.
Density functional theory data (PBE-GGA) for an optimized crystal structure of Pu2CoBr.

The calculation puts the total magnetization at 10.31 μB per formula unit. The density of states at the Fermi level is 3.39 states/eV per atom. The volume is 294.6 Å³ per cell. Its uncorrected energy is -117.498 eV for the cell shown.

Cell: 3.8384 3.8384 23.0920 Å, 90.00 90.00 120.00°
Space group R-3m (No. 166, hexagonal axes)
Inequivalent atoms, fractional coordinates:
Pu 0.0000 0.0000 0.2309
Co 0.0000 0.0000 0.5000
Br 0.0000 0.0000 0.0000

9.
Density functional theory data (PBE-GGA) for an optimized crystal structure of PuCoBr5.

The calculation puts the total magnetization at 2.00 μB per formula unit. The density of states at the Fermi level is 1.67 states/eV per atom. The volume is 1045.1 Å³ per cell. Its uncorrected energy is -145.892 eV for the cell shown.

Cell: 10.901 10.270 10.666 Å, 90.00 118.92 90.00°
Space group C2/c (No. 15)
Inequivalent atoms, fractional coordinates:
Pu 0.250 0.250 0.000
Co 0.000 0.138 0.250
Br 0.000 0.331 0.750
Br 0.115 0.290 0.169
Br 0.170 0.018 0.452

10.
Density functional theory data (PBE-GGA) for an optimized crystal structure of RbCoBr3.

The calculation puts the total magnetization at 3.00 μB per formula unit. The density of states at the Fermi level is 1.15 states/eV per atom. The volume is 305.7 Å³ per cell. Its uncorrected energy is -34.941 eV for the cell shown.

Cell: 7.5326 7.5326 6.2204 Å, 90.00 90.00 120.00°
Space group P6_3/mmc (No. 194)
Inequivalent atoms, fractional coordinates:
Rb 0.3333 0.6667 0.2500
Co 0.0000 0.0000 0.0000
Br 0.1582 0.3165 0.7500

11.
Density functional theory data (PBE-GGA) for an optimized crystal structure of Rb2Co3Br8.

The calculation puts the total magnetization at 9.00 μB per formula unit. The density of states at the Fermi level is 0.46 states/eV per atom. The volume is 832.8 Å³ per cell. Its uncorrected energy is -91.029 eV for the cell shown.

Cell: 16.320 7.828 6.798 Å, 90.00 106.49 90.00°
Space group C2/m (No. 12)
Inequivalent atoms, fractional coordinates:
Rb 0.238 0.000 0.177
Co 0.000 0.247 0.500
Co 0.000 0.500 0.000
Br 0.087 0.268 0.882
Br 0.091 0.500 0.394
Br 0.098 0.000 0.457

12.
Density functional theory data (PBE-GGA) for an optimized crystal structure of RbCo2Br6.

The calculation puts the total magnetization at 7.01 μB per formula unit. The density of states at the Fermi level is 0.84 states/eV per atom. The volume is 735.7 Å³ per cell. Its uncorrected energy is -60.526 eV for the cell shown.

Cell: 15.960 5.609 8.566 Å, 90.00 106.40 90.00°
Space group C2/m (No. 12)
Inequivalent atoms, fractional coordinates:
Rb 0.000 0.000 0.000
Co 0.241 0.000 0.653
Br 0.102 0.000 0.683
Br 0.135 0.500 0.123
Br 0.246 0.500 0.618

Q: What is the volume in the eighth record?
A: 294.6 Å³ per cell

Q: Among the records above, which one has the highest total magnetization?
A: Pu2CoBr